Density functional theory data (GGA-PBEsol) for a relaxed LiYSb crystal.

Raw total energy ... -0.194 hartree per atom
E_form (uncorrected) ... -0.83 eV per atom

Cell lengths 4.3765, 4.3765, 4.0314 Å; angles 90.00, 90.00, 120.00 degrees
Space group P-6m2 (No. 187)
Symmetry-distinct sites (fractional):
Li: 0.0000 0.0000 0.0000 (multiplicity 1)
Y: 0.6667 0.3333 0.5000 (multiplicity 1)
Sb: 0.3333 0.6667 0.0000 (multiplicity 1)